First-principles (PBE with a Hubbard U) data for a geometry-optimized Ba3CeFe2O9 structure, as listed in Alexandria.

a b c (Å): 5.863 5.863 7.240
angles (deg): 90.00 90.00 120.00
Element x y z (fractional)
O  0.175  0.350  0.319
O  0.000  0.500  0.000
O  0.350  0.175  0.681
O  0.500  0.000  0.000
O  0.825  0.650  0.681
O  0.500  0.500  0.000
O  0.175  0.825  0.319
O  0.825  0.175  0.681
O  0.650  0.825  0.319
Ba  0.667  0.333  0.316
Ba  0.000  0.000  0.000
Ba  0.333  0.667  0.684
Fe  0.667  0.333  0.841
Fe  0.333  0.667  0.159
Ce  0.000  0.000  0.500

Calculated values
Space-group type   P-3m1, No. 164
V   14.4 Å³ per atom
VASP energy   -0.2493 hartree per atom
Total moment   8.04 μB per cell